Entry 1:
The following is a DFT calculation (GGA-PBE) of a relaxed structure of Y2Ga5Ru3.

abc: 9.716 13.027 5.720
angles: 90.00 90.00 90.00
Space group Ibam (No. 72)
Inequivalent atoms, fractional coordinates:
Y 0.229 0.146 0.000 x8
Ga 0.000 0.000 0.250 x4
Ga 0.000 0.301 0.250 x8
Ga 0.188 0.418 0.000 x8
Ru 0.000 0.500 0.250 x4
Ru 0.075 0.153 0.500 x8

The value obtained for the formation energy is -5.4 eV per formula unit. Its volume is 18.1 Å³/atom. The raw total energy comes out at -245.3 eV/cell.

Entry 2:
The following is a DFT calculation (GGA-PBE) of a relaxed structure of Y5GaRu4.

abc: 3.449 3.449 17.276
angles: 90.00 90.00 90.00
Space group P4/mmm (No. 123)
Inequivalent atoms, fractional coordinates:
Y 0.000 0.000 0.000 x1
Y 0.000 0.000 0.195 x2
Y 0.000 0.000 0.390 x2
Ga 0.500 0.500 0.500 x1
Ru 0.500 0.500 0.099 x2
Ru 0.500 0.500 0.298 x2

The value obtained for the formation energy is -3.7 eV per formula unit. Its volume is 20.6 Å³/atom. The raw total energy comes out at -76.2 eV/cell.

Entry 3:
The following is a DFT calculation (GGA-PBE) of a relaxed structure of Y2Ga12Ru.

abc: 6.043 6.043 15.705
angles: 90.00 90.00 90.00
Space group P4/nbm (No. 125, origin choice 2)
Inequivalent atoms, fractional coordinates:
Y 0.250 0.750 0.238 x4
Ga 0.000 0.000 0.087 x8
Ga 0.085 0.585 0.432 x8
Ga 0.250 0.250 0.193 x4
Ga 0.250 0.250 0.348 x4
Ru 0.250 0.750 0.000 x2

The value obtained for the formation energy is -5.2 eV per formula unit. Its volume is 19.1 Å³/atom. The raw total energy comes out at -127.5 eV/cell.

Q: Which of these has the lowest raw total energy?
A: Y2Ga5Ru3